[1]
PBE V3PW, optimized geometry; relative energy among the computed polymorphs = 1733 meV per atom; volume = 96 Å³/f.u.; formation energy from the elements = 1.520 eV/atom; total moment = 0.0 Bohr magnetons per cell
1.0
4.577 0.000 0.000
0.000 4.577 0.000
0.000 0.000 4.577
V P W
3 1 1
Cartesian
0.000 0.000 2.288
0.000 2.288 0.000
2.288 0.000 0.000
2.288 2.288 2.288
0.000 0.000 0.000

[2]
PBE SrAsP, optimized geometry; relative energy among the computed polymorphs = 745 meV per atom; volume = 86 Å³/f.u.; formation energy from the elements = 0.082 eV/atom; total moment = 0.0 Bohr magnetons per cell
1.0
7.011 0.000 0.000
0.000 7.011 0.000
0.000 0.000 7.011
Sr As P
4 4 4
Cartesian
0.000 0.000 0.000
0.000 3.506 3.506
3.506 0.000 3.506
3.506 3.506 0.000
1.753 1.753 1.753
1.753 5.258 5.258
5.258 1.753 5.258
5.258 5.258 1.753
1.753 1.753 5.258
1.753 5.258 1.753
5.258 1.753 1.753
5.258 5.258 5.258

[3]
PBE ZnHg2Ir, optimized geometry; volume = 74 Å³/f.u.; formation energy from the elements = 0.257 eV/atom; total moment = 0.0 Bohr magnetons per cell
1.0
3.252 0.000 0.000
0.000 4.314 0.000
-1.606 0.000 5.297
Zn Hg Ir
1 2 1
Cartesian
0.000 0.000 0.000
0.011 0.000 2.901
1.625 2.157 1.082
1.632 2.157 3.924

Computed values of calculated density (unit: g cm⁻³) for the preceding records, in sequence: 6.37; 3.73; 14.72.
Computed values of uncorrected energy (unit: eV/atom) for the preceding records, in sequence: -7.623; -3.831; -2.427.